Entry 1:
A relaxed structure of ScIn, computed with PBE.

```
data_ScIn
_chemical_formula_sum 'Sc6 In6'
_symmetry_space_group_name_H-M 'R -3 m'
_symmetry_Int_Tables_number 166
_symmetry_space_group_name_Hall '-R 3 2"'
_cell_length_a 4.7146
_cell_length_b 4.7146
_cell_length_c 16.0277
_cell_angle_alpha 90.00
_cell_angle_beta 90.00
_cell_angle_gamma 120.00
loop_
_atom_site_label
_atom_site_type_symbol
_atom_site_fract_x
_atom_site_fract_y
_atom_site_fract_z
_atom_site_occupancy
Sc1 Sc 0.0000 0.0000 0.1033 1
In1 In 0.0000 0.0000 0.3014 1
```

**Calculated density**: 5.16 g/cm3
**Formation enthalpy at 0 K**: -92 meV/atom
**Final energy**: -4.6269 eV per atom

=====

Entry 2:
A relaxed structure of ScIn3, computed with PBE.

```
data_ScIn3
_chemical_formula_sum 'Sc3 In9'
_symmetry_space_group_name_H-M 'R -3 m'
_symmetry_Int_Tables_number 166
_symmetry_space_group_name_Hall '-R 3 2"'
_cell_length_a 3.3776
_cell_length_b 3.3776
_cell_length_c 30.4665
_cell_angle_alpha 90.00
_cell_angle_beta 90.00
_cell_angle_gamma 120.00
loop_
_atom_site_label
_atom_site_type_symbol
_atom_site_fract_x
_atom_site_fract_y
_atom_site_fract_z
_atom_site_occupancy
Sc1 Sc 0.0000 0.0000 0.0000 1
In1 In 0.0000 0.0000 0.2534 1
In2 In 0.0000 0.0000 0.5000 1
```

**Calculated density**: 6.44 g/cm3
**Formation enthalpy at 0 K**: -135 meV/atom
**Final energy**: -3.7713 eV per atom